1.
Material: Th2CdFeAg
Method: DFT, GGA-PBE
State: relaxed

a = 8.172 Å, b = 3.941 Å, c = 8.215 Å
α = 90.00°, β = 112.69°, γ = 90.00°
Sites, in units of the cell vectors:
Th 0.083 0.250 0.306
Th 0.306 0.750 0.077
Th 0.694 0.250 0.923
Th 0.917 0.750 0.694
Cd 0.422 0.750 0.582
Cd 0.578 0.250 0.418
Fe 0.069 0.250 0.928
Fe 0.931 0.750 0.072
Ag 0.260 0.250 0.736
Ag 0.740 0.750 0.264

Properties
As for the space group: P2_1/m (11). The electronic total energy is -5.4935 eV per atom.

2.
Material: TiCd2FeAg
Method: DFT, GGA-PBE
State: relaxed

a = 5.008 Å, b = 5.008 Å, c = 4.941 Å
α = 90.00°, β = 90.00°, γ = 90.00°
Sites, in units of the cell vectors:
Ti 0.000 0.000 0.000
Cd 0.000 0.500 0.500
Cd 0.500 0.000 0.500
Fe 0.500 0.500 0.000
Ag 0.000 0.000 0.500

Properties
As for the space group: P4/mmm (123). The electronic total energy is -2.7804 eV per atom.

3.
Material: Zr2CdFeAg
Method: DFT, GGA-PBE
State: relaxed

a = 4.707 Å, b = 4.707 Å, c = 4.979 Å
α = 90.00°, β = 90.00°, γ = 90.00°
Sites, in units of the cell vectors:
Zr 0.000 0.500 0.000
Zr 0.500 0.000 0.000
Cd 0.000 0.000 0.500
Fe 0.000 0.000 0.000
Ag 0.500 0.500 0.500

Properties
As for the space group: P4/mmm (123). The electronic total energy is -5.5716 eV per atom.